A relaxed PuBrCl crystal. Source: Alexandria via LeMat-Bulk, functional PBE.

Unit cell a=7.363 b=7.363 c=7.363 alpha=151.96 beta=151.96 gamma=40.07
Sites, in units of the cell vectors:
Pu (0.000, 0.000, 0.000)
Br (0.370, 0.370, 0.000)
Cl (0.614, 0.614, 0.000)

polymorph energy (0 for the lowest one) = 50 meV/atom
E_form (uncorrected) = -1.549 eV/atom
symmetry = I4mm

***

A relaxed Pu3Br7Cl crystal. Source: Alexandria via LeMat-Bulk, functional PBE.

Unit cell a=8.592 b=8.592 c=6.797 alpha=90.00 beta=90.00 gamma=120.00
Sites, in units of the cell vectors:
Pu (0.003, 0.501, 0.000)
Pu (0.499, 0.501, 0.000)
Pu (0.499, 0.997, 0.000)
Br (0.174, 0.348, 0.234)
Br (0.174, 0.826, 0.234)
Br (0.349, 0.174, 0.770)
Br (0.652, 0.826, 0.234)
Br (0.667, 0.333, 0.240)
Br (0.826, 0.174, 0.770)
Br (0.826, 0.651, 0.770)
Cl (0.333, 0.667, 0.792)

E_form (uncorrected) = -1.578 eV/atom
symmetry = P3m1

***

A relaxed PuBrCl crystal. Source: Alexandria via LeMat-Bulk, functional PBE.

Unit cell a=5.002 b=5.002 c=5.002 alpha=60.00 beta=60.00 gamma=60.00
Sites, in units of the cell vectors:
Pu (0.000, 0.000, 0.000)
Br (0.750, 0.750, 0.750)
Cl (0.250, 0.250, 0.250)

polymorph energy (0 for the lowest one) = 67 meV/atom
E_form (uncorrected) = -1.532 eV/atom
symmetry = F-43m

***

A relaxed Pu3BrCl7 crystal. Source: Alexandria via LeMat-Bulk, functional PBE.

Unit cell a=8.443 b=8.443 c=6.555 alpha=90.00 beta=90.00 gamma=120.00
Sites, in units of the cell vectors:
Pu (0.168, 0.336, 0.000)
Pu (0.168, 0.832, 0.000)
Pu (0.664, 0.832, 0.000)
Br (0.000, 0.000, 0.261)
Cl (0.027, 0.514, 0.217)
Cl (0.306, 0.153, 0.788)
Cl (0.333, 0.667, 0.772)
Cl (0.486, 0.514, 0.217)
Cl (0.486, 0.973, 0.217)
Cl (0.847, 0.153, 0.788)
Cl (0.847, 0.694, 0.788)

E_form (uncorrected) = -1.854 eV/atom
symmetry = P3m1

***

A relaxed PuBrCl3 crystal. Source: Alexandria via LeMat-Bulk, functional PBE.

Unit cell a=6.622 b=8.236 c=6.741 alpha=90.00 beta=90.84 gamma=90.00
Sites, in units of the cell vectors:
Pu (0.001, 0.250, 0.001)
Pu (0.999, 0.750, 0.999)
Br (0.274, 0.750, 0.291)
Br (0.726, 0.250, 0.709)
Cl (0.192, 0.000, 0.826)
Cl (0.192, 0.500, 0.826)
Cl (0.259, 0.250, 0.273)
Cl (0.741, 0.750, 0.727)
Cl (0.808, 0.000, 0.174)
Cl (0.808, 0.500, 0.174)

E_form (uncorrected) = -1.542 eV/atom
symmetry = P2_1/m

***

A relaxed Pu4BrCl5 crystal. Source: Alexandria via LeMat-Bulk, functional PBE.

Unit cell a=9.347 b=9.347 c=6.227 alpha=90.00 beta=90.00 gamma=90.00
Sites, in units of the cell vectors:
Pu (0.039, 0.750, 0.143)
Pu (0.250, 0.539, 0.857)
Pu (0.250, 0.961, 0.857)
Pu (0.461, 0.750, 0.143)
Pu (0.539, 0.250, 0.857)
Pu (0.750, 0.039, 0.143)
Pu (0.750, 0.461, 0.143)
Pu (0.961, 0.250, 0.857)
Br (0.250, 0.250, 0.656)
Br (0.750, 0.750, 0.344)
Cl (0.062, 0.062, 0.216)
Cl (0.062, 0.438, 0.216)
Cl (0.250, 0.750, 0.500)
Cl (0.438, 0.062, 0.216)
Cl (0.438, 0.438, 0.216)
Cl (0.562, 0.562, 0.784)
Cl (0.562, 0.938, 0.784)
Cl (0.750, 0.250, 0.500)
Cl (0.938, 0.562, 0.784)
Cl (0.938, 0.938, 0.784)

E_form (uncorrected) = -1.341 eV/atom
symmetry = P4/nmm

***

A relaxed PuBr2Cl crystal. Source: Alexandria via LeMat-Bulk, functional PBE.

Unit cell a=6.623 b=6.623 c=6.623 alpha=146.45 beta=73.69 gamma=116.57
Sites, in units of the cell vectors:
Pu (0.000, 0.000, 0.000)
Br (0.002, 0.674, 0.328)
Br (0.346, 0.674, 0.672)
Cl (0.721, 0.221, 0.500)

polymorph energy (0 for the lowest one) = 60 meV/atom
E_form (uncorrected) = -1.582 eV/atom
symmetry = Imm2

***

A relaxed Pu4Br3Cl7 crystal. Source: Alexandria via LeMat-Bulk, functional PBE.

Unit cell a=9.125 b=9.125 c=11.067 alpha=122.63 beta=122.63 gamma=28.53
Sites, in units of the cell vectors:
Pu (0.108, 0.108, 0.297)
Pu (0.329, 0.329, 0.227)
Pu (0.671, 0.671, 0.773)
Pu (0.892, 0.892, 0.703)
Br (0.000, 0.000, 0.500)
Br (0.310, 0.310, 0.800)
Br (0.690, 0.690, 0.200)
Cl (0.000, 0.000, 0.000)
Cl (0.169, 0.169, 0.924)
Cl (0.311, 0.311, 0.472)
Cl (0.492, 0.492, 0.234)
Cl (0.508, 0.508, 0.766)
Cl (0.689, 0.689, 0.528)
Cl (0.831, 0.831, 0.076)

E_form (uncorrected) = -1.713 eV/atom
symmetry = C2/m

***

A relaxed PuBrCl crystal. Source: Alexandria via LeMat-Bulk, functional PBE.

Unit cell a=6.843 b=4.101 c=7.479 alpha=90.00 beta=91.66 gamma=90.00
Sites, in units of the cell vectors:
Pu (0.000, 0.000, 0.000)
Pu (0.000, 0.500, 0.500)
Br (0.255, 0.000, 0.681)
Br (0.745, 0.000, 0.319)
Cl (0.214, 0.500, 0.178)
Cl (0.786, 0.500, 0.822)

polymorph energy (0 for the lowest one) = 49 meV/atom
E_form (uncorrected) = -1.550 eV/atom
symmetry = P2/m

***

A relaxed Pu2BrCl8 crystal. Source: Alexandria via LeMat-Bulk, functional PBE.

Unit cell a=8.493 b=8.493 c=7.828 alpha=109.46 beta=109.46 gamma=58.47
Sites, in units of the cell vectors:
Pu (0.195, 0.195, 0.001)
Pu (0.805, 0.805, 0.999)
Br (0.000, 0.000, 0.000)
Cl (0.126, 0.126, 0.661)
Cl (0.163, 0.537, 0.999)
Cl (0.264, 0.264, 0.342)
Cl (0.463, 0.837, 0.001)
Cl (0.537, 0.163, 0.999)
Cl (0.736, 0.736, 0.658)
Cl (0.837, 0.463, 0.001)
Cl (0.874, 0.874, 0.339)

E_form (uncorrected) = -1.438 eV/atom
symmetry = C2/m

***

Number 1: theoretical density 6.78 Mg/m³. Number 2: theoretical density 5.07 Mg/m³. Number 3: theoretical density 6.74 Mg/m³. Number 4: theoretical density 4.35 Mg/m³. Number 5: theoretical density 3.89 Mg/m³. Number 6: theoretical density 7.53 Mg/m³. Number 7: theoretical density 5.17 Mg/m³. Number 8: theoretical density 6.65 Mg/m³. Number 9: theoretical density 5.69 Mg/m³. Number 10: theoretical density 3.18 Mg/m³.